First-principles (PBE) data for crystalline BaAuCl2 at its relaxed geometry, as listed in Alexandria via LeMat-Bulk.

**Space-group type**: Fm-3m, No. 225
**Calculated volume**: 27.2 Å³/atom
**Relative energy among the computed polymorphs**: 0.052 eV/atom
**ΔE_f (raw)**: -1.28 eV per atom
**VASP energy**: -14.01 eV/cell
**Fermi-level density of states**: 1.934 states/eV/atom

abc: 5.3595 5.3595 5.3595
angles: 60.00 60.00 60.00
Last column: nearest neighbours and their distance in Å.
Element x y z (fractional)
Ba: 0.0000 0.0000 0.0000  8 Cl 3.28
Au: 0.5000 0.5000 0.5000  8 Cl 3.28
Cl: 0.2500 0.2500 0.2500  4 Au 3.28, 4 Ba 3.28
Cl: 0.7500 0.7500 0.7500  4 Au 3.28, 4 Ba 3.28